Entry 1:
The following is a DFT calculation (GGA-PBE) of crystalline CrCoOs2 at its relaxed geometry.

Summary:
M_tot = 0.12 μB/cell
V = 12.950 A^3/atom
uncorrected energy = -38.6 eV per cell
DFT formation energy = 0.144 eV per atom
energy above the lowest structure with this stoichiometry = 83 meV per atom

POSCAR file:
```
CrCoOs2
1.0
-0.097 -3.393 2.925
2.035 -3.747 1.375
2.709 1.733 3.331
Cr Co Os
1 1 2
direct
0.750 0.750 0.750
0.250 0.250 0.250
0.002 0.002 0.003
0.498 0.498 0.497
```

=====

Entry 2:
The following is a DFT calculation (GGA-PBE) of crystalline CrCoOs2 at its relaxed geometry.

Summary:
M_tot = 2.33 μB/cell
V = 13.650 A^3/atom
uncorrected energy = -37.8 eV per cell
DFT formation energy = 0.346 eV per atom
energy above the lowest structure with this stoichiometry = 286 meV per atom

POSCAR file:
```
CrCoOs2
1.0
-1.358 2.591 -4.358
-0.939 -2.499 -4.519
-1.186 0.793 5.051
Os Co Cr
2 1 1
direct
0.469 0.469 0.000
0.031 0.031 0.000
0.750 0.250 0.500
0.250 0.750 0.500
```

=====

Entry 3:
The following is a DFT calculation (GGA-PBE) of crystalline Cr3CoOs at its relaxed geometry.

Summary:
M_tot = 0.00 μB/cell
V = 14.005 A^3/atom
uncorrected energy = -40.6 eV per cell
DFT formation energy = 1.328 eV per atom

POSCAR file:
```
Cr3CoOs
1.0
4.122 0.000 0.000
0.000 4.122 0.000
0.000 0.000 4.122
Cr Os Co
3 1 1
direct
0.000 0.000 0.500
0.000 0.500 0.000
0.500 0.000 0.000
0.500 0.500 0.500
0.000 0.000 0.000
```

=====

Entry 4:
The following is a DFT calculation (GGA-PBE) of crystalline Cr2CoOs at its relaxed geometry.

Summary:
M_tot = 0.00 μB/cell
V = 12.125 A^3/atom
uncorrected energy = -37.2 eV per cell
DFT formation energy = 0.100 eV per atom

POSCAR file:
```
Cr2CoOs
1.0
-1.778 2.772 1.479
-1.707 -1.660 1.059
1.242 -2.017 5.274
Os Cr Co
1 2 1
direct
0.500 0.250 0.250
0.000 0.016 0.984
0.000 0.484 0.516
0.500 0.750 0.750
```

=====

Entry 5:
The following is a DFT calculation (GGA-PBE) of crystalline CrCoOs4 at its relaxed geometry.

Summary:
M_tot = 0.00 μB/cell
V = 13.383 A^3/atom
uncorrected energy = -121.4 eV per cell
DFT formation energy = 0.160 eV per atom
energy above the lowest structure with this stoichiometry = 0 meV per atom

POSCAR file:
```
CrCoOs4
1.0
6.071 0.167 -1.164
-0.785 6.568 -3.153
-0.155 -1.746 4.917
Os Cr Co
8 2 2
direct
0.996 0.691 0.382
0.000 0.812 0.000
0.000 0.188 0.000
0.335 0.584 0.669
0.004 0.309 0.618
0.335 0.086 0.669
0.665 0.416 0.331
0.665 0.914 0.331
0.647 0.409 0.817
0.353 0.591 0.183
0.637 0.913 0.827
0.363 0.087 0.173
```

=====

Entry 6:
The following is a DFT calculation (GGA-PBE) of crystalline CrCo2OsPd at its relaxed geometry.

Summary:
M_tot = 4.61 μB/cell
V = 17.920 A^3/atom
uncorrected energy = -33.4 eV per cell
DFT formation energy = 1.380 eV per atom

POSCAR file:
```
CrCo2OsPd
1.0
4.435 0.000 0.000
0.000 4.555 0.000
0.000 0.000 4.435
Os Co Pd Cr
1 2 1 1
direct
0.000 0.000 0.000
0.000 0.000 0.500
0.500 0.000 0.000
0.500 0.500 0.500
0.000 0.500 0.000
```

=====

Entry 7:
The following is a DFT calculation (GGA-PBE) of crystalline CrCoOs2S at its relaxed geometry.

Summary:
M_tot = 4.33 μB/cell
formation energy without anion corrections = 0.8658 eV per atom
V = 15.269 A^3/atom
uncorrected energy = -39.0 eV per cell

POSCAR file:
```
CrCoOs2S
1.0
4.336 0.000 0.000
0.000 4.061 0.000
0.000 0.000 4.336
S Os Co Cr
1 2 1 1
direct
0.000 0.000 0.000
0.000 0.000 0.500
0.500 0.000 0.000
0.000 0.500 0.000
0.500 0.500 0.500
```

=====

Entry 8:
The following is a DFT calculation (GGA-PBE) of crystalline Tl2CrCoOs at its relaxed geometry.

Summary:
M_tot = 4.34 μB/cell
V = 20.105 A^3/atom
uncorrected energy = -23.7 eV per cell
DFT formation energy = 1.800 eV per atom

POSCAR file:
```
Tl2CrCoOs
1.0
-1.439 -2.061 4.328
3.629 -1.661 0.416
1.577 4.063 2.460
Tl Cr Co Os
2 1 1 1
direct
0.500 0.000 0.000
0.000 0.000 0.500
0.000 0.000 0.000
0.000 0.500 0.000
0.500 0.500 0.500
```

=====

Entry 9:
The following is a DFT calculation (GGA-PBE) of crystalline VCr2CoOs at its relaxed geometry.

Summary:
M_tot = 0.38 μB/cell
V = 17.251 A^3/atom
uncorrected energy = -38.0 eV per cell
DFT formation energy = 1.740 eV per atom

POSCAR file:
```
VCr2CoOs
1.0
4.391 0.000 0.000
0.000 4.473 0.000
0.000 0.000 4.391
Cr Co V Os
2 1 1 1
direct
0.500 0.000 0.000
0.000 0.000 0.500
0.500 0.500 0.500
0.000 0.500 0.000
0.000 0.000 0.000
```

=====

Entry 10:
The following is a DFT calculation (GGA-PBE) of crystalline CrCo2OsW at its relaxed geometry.

Summary:
M_tot = 4.54 μB/cell
V = 16.867 A^3/atom
uncorrected energy = -37.9 eV per cell
DFT formation energy = 2.017 eV per atom

POSCAR file:
```
CrCo2OsW
1.0
4.347 0.000 0.000
0.000 4.462 0.000
0.000 0.000 4.347
W Os Co Cr
1 1 2 1
direct
0.000 0.000 0.000
0.500 0.500 0.500
0.000 0.000 0.500
0.500 0.000 0.000
0.000 0.500 0.000
```

=====

Entry 11:
The following is a DFT calculation (GGA-PBE) of crystalline CrCo2P at its relaxed geometry.

Summary:
M_tot = 3.01 μB/cell
V = 11.131 A^3/atom
uncorrected energy = -29.1 eV per cell
DFT formation energy = 0.040 eV per atom

POSCAR file:
```
CrCo2P
1.0
-2.337 -1.739 -3.023
4.493 1.063 -1.255
1.249 -2.238 0.153
P Cr Co
1 1 2
direct
0.500 0.500 0.000
0.000 0.500 0.500
0.500 0.000 0.500
0.000 0.000 0.000
```

=====

Entry 12:
The following is a DFT calculation (GGA-PBE) of crystalline Cr2CoP3 at its relaxed geometry.

Summary:
M_tot = 5.76 μB/cell
V = 12.025 A^3/atom
uncorrected energy = -183.5 eV per cell
DFT formation energy = -0.548 eV per atom

POSCAR file:
```
Cr2CoP3
1.0
-1.325 2.804 -0.043
-2.468 -1.096 4.521
13.646 6.588 9.090
P Co Cr
12 4 8
direct
0.500 0.319 0.977
0.000 0.689 0.352
0.500 0.807 0.523
0.500 0.809 0.858
0.500 0.812 0.191
0.000 0.184 0.814
0.500 0.310 0.307
0.500 0.317 0.642
0.000 0.190 0.147
0.000 0.690 0.688
0.000 0.183 0.479
0.000 0.688 0.023
0.000 0.000 0.266
0.000 0.506 0.565
0.000 0.501 0.233
0.000 0.506 0.900
0.500 0.998 0.067
0.000 0.009 0.603
0.500 0.492 0.430
0.500 0.994 0.397
0.500 0.996 0.732
0.500 0.497 0.101
0.000 0.009 0.938
0.500 0.493 0.766
```

=====

Entry 13:
The following is a DFT calculation (GGA-PBE) of crystalline CrCo2P2 at its relaxed geometry.

Summary:
M_tot = 0.00 μB/cell
V = 10.932 A^3/atom
uncorrected energy = -72.1 eV per cell
DFT formation energy = -0.276 eV per atom

POSCAR file:
```
CrCo2P2
1.0
6.438 0.000 0.000
0.000 6.438 0.000
0.000 0.000 2.637
Co P Cr
4 4 2
direct
0.140 0.640 0.500
0.360 0.140 0.500
0.640 0.860 0.500
0.860 0.360 0.500
0.843 0.657 0.000
0.657 0.157 0.000
0.157 0.343 0.000
0.343 0.843 0.000
0.500 0.500 0.000
0.000 0.000 0.000
```

=====

Entry 14:
The following is a DFT calculation (GGA-PBE) of crystalline CrCo2P at its relaxed geometry.

Summary:
M_tot = 2.57 μB/cell
V = 10.914 A^3/atom
uncorrected energy = -29.9 eV per cell
DFT formation energy = -0.175 eV per atom

POSCAR file:
```
CrCo2P
1.0
-1.901 -1.597 2.533
-0.973 -2.509 -2.312
2.770 -1.891 0.887
P Co Cr
1 2 1
direct
0.000 0.500 0.500
0.000 0.000 0.000
0.500 0.500 0.000
0.500 0.000 0.500
```

=====

Entry 15:
The following is a DFT calculation (GGA-PBE) of crystalline Cr3CoP at its relaxed geometry.

Summary:
M_tot = 6.42 μB/cell
V = 15.993 A^3/atom
uncorrected energy = -35.8 eV per cell
DFT formation energy = 1.124 eV per atom
energy above the lowest structure with this stoichiometry = 298 meV per atom

POSCAR file:
```
Cr3CoP
1.0
-1.086 2.483 -3.349
-3.640 1.122 2.013
2.032 3.337 1.816
P Co Cr
1 1 3
direct
0.500 0.500 0.500
0.000 0.000 0.000
0.500 0.000 0.000
0.000 0.000 0.500
0.000 0.500 0.000
```

=====

Entry 16:
The following is a DFT calculation (GGA-PBE) of crystalline CrCo2P at its relaxed geometry.

Summary:
M_tot = 1.21 μB/cell
V = 10.693 A^3/atom
uncorrected energy = -30.0 eV per cell
DFT formation energy = -0.198 eV per atom

POSCAR file:
```
CrCo2P
1.0
4.284 0.002 0.000
1.429 4.039 0.000
-2.857 -2.021 2.472
Cr Co P
1 2 1
direct
0.250 0.750 0.500
0.000 0.000 0.000
0.500 0.500 0.000
0.750 0.250 0.500
```

=====

Entry 17:
The following is a DFT calculation (GGA-PBE) of crystalline CrCo2P at its relaxed geometry.

Summary:
M_tot = 0.43 μB/cell
V = 10.855 A^3/atom
uncorrected energy = -29.6 eV per cell
DFT formation energy = -0.091 eV per atom

POSCAR file:
```
CrCo2P
1.0
2.680 0.000 0.000
0.000 2.680 0.000
0.000 0.000 6.045
Co P Cr
2 1 1
direct
0.000 0.000 0.963
0.500 0.500 0.262
0.500 0.500 0.763
0.000 0.000 0.511
```

=====

Entry 18:
The following is a DFT calculation (GGA-PBE) of crystalline CrCo2P at its relaxed geometry.

Summary:
M_tot = 1.98 μB/cell
V = 10.935 A^3/atom
uncorrected energy = -29.5 eV per cell
DFT formation energy = -0.069 eV per atom

POSCAR file:
```
CrCo2P
1.0
-1.439 1.656 1.470
-2.201 -1.260 -0.736
0.570 -3.862 4.909
Cr Co P
1 2 1
direct
0.500 0.500 0.250
0.000 0.000 0.538
0.000 0.000 0.962
0.500 0.500 0.750
```

=====

Entry 19:
The following is a DFT calculation (GGA-PBE) of crystalline CrCo2P at its relaxed geometry.

Summary:
M_tot = 1.21 μB/cell
V = 10.713 A^3/atom
uncorrected energy = -29.9 eV per cell
DFT formation energy = -0.176 eV per atom

POSCAR file:
```
CrCo2P
1.0
4.254 0.000 0.000
1.333 4.040 0.000
-2.794 -2.020 2.493
Co Cr P
2 1 1
direct
0.250 0.750 0.500
0.000 0.000 0.000
0.500 0.500 0.000
0.750 0.250 0.500
```

=====

Entry 20:
The following is a DFT calculation (GGA-PBE) of crystalline CrCo2P at its relaxed geometry.

Summary:
M_tot = 0.00 μB/cell
V = 10.601 A^3/atom
uncorrected energy = -29.8 eV per cell
DFT formation energy = -0.127 eV per atom

POSCAR file:
```
CrCo2P
1.0
-2.137 3.028 -1.259
-3.419 -0.631 -1.798
-3.354 0.911 1.800
P Cr Co
1 1 2
direct
0.750 0.750 0.750
0.500 0.500 0.500
0.000 0.000 0.000
0.250 0.250 0.250
```

=====

Entry 21:
The following is a DFT calculation (GGA-PBE) of crystalline CrCoP at its relaxed geometry.

Summary:
M_tot = 0.99 μB/cell
V = 11.047 A^3/atom
uncorrected energy = -22.5 eV per cell
DFT formation energy = -0.128 eV per atom

POSCAR file:
```
CrCoP
1.0
-2.787 -3.875 0.131
-1.663 -3.788 -2.386
1.627 -2.129 0.652
P Co Cr
1 1 1
direct
0.665 0.665 0.335
0.017 0.017 0.983
0.318 0.318 0.682
```

=====

Entry 22:
The following is a DFT calculation (GGA-PBE) of crystalline CrCo2P at its relaxed geometry.

Summary:
M_tot = 0.66 μB/cell
V = 10.982 A^3/atom
uncorrected energy = -29.9 eV per cell
DFT formation energy = -0.176 eV per atom

POSCAR file:
```
CrCo2P
1.0
3.583 0.000 0.000
0.000 2.619 -0.001
0.000 1.314 4.682
Co P Cr
2 1 1
direct
0.000 0.813 0.998
0.500 0.188 0.250
0.500 0.944 0.735
0.000 0.554 0.517
```

=====

Entry 23:
The following is a DFT calculation (GGA-PBE) of crystalline CrCoP6 at its relaxed geometry.

Summary:
M_tot = 0.00 μB/cell
V = 16.121 A^3/atom
uncorrected energy = -50.0 eV per cell
DFT formation energy = -0.099 eV per atom

POSCAR file:
```
CrCoP6
1.0
5.338 -0.107 0.037
-0.044 4.688 1.527
0.074 -1.013 4.826
Cr P Co
1 6 1
direct
0.500 0.012 0.012
0.745 0.721 0.294
0.255 0.294 0.721
0.745 0.969 0.653
0.776 0.258 0.270
0.255 0.653 0.969
0.224 0.270 0.258
0.000 0.989 0.989
```

=====

Entry 24:
The following is a DFT calculation (GGA-PBE) of crystalline CrCoP at its relaxed geometry.

Summary:
M_tot = 0.00 μB/cell
V = 11.051 A^3/atom
uncorrected energy = -22.4 eV per cell
DFT formation energy = -0.076 eV per atom

POSCAR file:
```
CrCoP
1.0
-1.513 3.076 2.398
1.259 0.022 3.989
1.362 0.118 -3.953
Cr P Co
1 1 1
direct
0.336 0.336 0.000
0.667 0.667 0.000
0.997 0.997 0.000
```

=====

Entry 25:
The following is a DFT calculation (GGA-PBE) of crystalline CrCo2P at its relaxed geometry.

Summary:
M_tot = 1.12 μB/cell
V = 10.814 A^3/atom
uncorrected energy = -29.3 eV per cell
DFT formation energy = -0.023 eV per atom

POSCAR file:
```
CrCo2P
1.0
-0.866 -2.967 2.850
3.355 2.193 1.269
-1.554 1.654 1.250
P Cr Co
1 1 2
direct
0.000 0.500 0.500
0.500 0.000 0.500
0.000 0.000 0.000
0.500 0.500 0.000
```

=====

Entry 26:
The following is a DFT calculation (GGA-PBE) of crystalline CrCo2P at its relaxed geometry.

Summary:
M_tot = 0.36 μB/cell
V = 10.847 A^3/atom
uncorrected energy = -29.9 eV per cell
DFT formation energy = -0.167 eV per atom

POSCAR file:
```
CrCo2P
1.0
-3.424 1.569 -2.910
-4.327 -0.686 -1.861
-2.930 2.012 1.802
P Cr Co
1 1 2
direct
0.744 0.744 0.755
0.474 0.474 0.526
0.246 0.246 0.254
0.036 0.036 0.964
```

=====

Entry 27:
The following is a DFT calculation (GGA-PBE) of crystalline CrCoP at its relaxed geometry.

Summary:
M_tot = 0.26 μB/cell
V = 11.193 A^3/atom
uncorrected energy = -22.2 eV per cell
DFT formation energy = -0.011 eV per atom

POSCAR file:
```
CrCoP
1.0
2.623 0.000 0.000
-1.311 2.271 0.000
0.000 0.000 5.637
P Cr Co
1 1 1
direct
0.333 0.667 0.675
0.667 0.333 0.340
0.000 0.000 0.985
```

=====

Entry 28:
The following is a DFT calculation (GGA-PBE) of crystalline CrCoP at its relaxed geometry.

Summary:
M_tot = 2.63 μB/cell
V = 12.717 A^3/atom
uncorrected energy = -23.1 eV per cell
DFT formation energy = -0.336 eV per atom

POSCAR file:
```
CrCoP
1.0
3.779 0.000 0.000
1.889 3.272 0.000
1.889 1.091 3.085
Co P Cr
1 1 1
direct
0.000 0.000 0.000
0.750 0.750 0.750
0.500 0.500 0.500
```